1.
The following is a DFT calculation (PBE-GGA) of crystalline SrHgTe3 at its relaxed geometry.

The crystal system is cubic. For the uncorrected formation energy, the calculation gives 0.1282 eV/atom. For the relative energy among the computed polymorphs, the calculation gives 9.031 kcal/mol of atoms.

It has space group Pm-3m (No. 221), with a = 6.376 Å, b = 6.376 Å, c = 6.376 Å, α = 90.00°, β = 90.00° and γ = 90.00°. The inequivalent atoms are Sr at (0.000, 0.000, 0.000), Hg at (0.500, 0.500, 0.500) and Te at (0.000, 0.000, 0.500).

---

2.
The following is a DFT calculation (PBE-GGA) of crystalline SrHg2Te at its relaxed geometry.

The crystal system is tetragonal. For the uncorrected formation energy, the calculation gives -0.5846 eV/atom.

It has space group I-42d (No. 122), with a = 9.089 Å, b = 9.089 Å, c = 6.406 Å, α = 90.00°, β = 90.00° and γ = 90.00°. The inequivalent atoms are Sr at (0.000, 0.000, 0.000), Hg at (0.235, 0.250, 0.625) and Te at (0.000, 0.000, 0.500).

---

3.
The following is a DFT calculation (PBE-GGA) of crystalline Sr2HgTe at its relaxed geometry.

The crystal system is trigonal. For the uncorrected formation energy, the calculation gives -0.9666 eV/atom. For the relative energy among the computed polymorphs, the calculation gives 0.794 kcal/mol of atoms.

It has space group R3m (No. 160, hexagonal axes), with a = 4.6622 Å, b = 4.6622 Å, c = 24.2496 Å, α = 90.00°, β = 90.00° and γ = 120.00°. The inequivalent atoms are Sr at (0.0000, 0.0000, 0.0000), Sr at (0.0000, 0.0000, 0.1689), Hg at (0.0000, 0.0000, 0.5847) and Te at (0.0000, 0.0000, 0.4180).

---

4.
The following is a DFT calculation (PBE-GGA) of crystalline SrHg2Te at its relaxed geometry.

The crystal system is tetragonal. For the uncorrected formation energy, the calculation gives -0.6639 eV/atom.

It has space group P4mm (No. 99), with a = 4.374 Å, b = 4.374 Å, c = 7.178 Å, α = 90.00°, β = 90.00° and γ = 90.00°. The inequivalent atoms are Sr at (0.000, 0.000, 0.000), Hg at (0.000, 0.000, 0.502), Hg at (0.500, 0.500, 0.633) and Te at (0.500, 0.500, 0.157).

---

5.
The following is a DFT calculation (PBE-GGA) of crystalline SrHgTe2 at its relaxed geometry.

The crystal system is tetragonal. For the uncorrected formation energy, the calculation gives -0.6687 eV/atom.

It has space group I-4m2 (No. 119), with a = 4.539 Å, b = 4.539 Å, c = 12.376 Å, α = 90.00°, β = 90.00° and γ = 90.00°. The inequivalent atoms are Sr at (0.000, 0.000, 0.000), Hg at (0.000, 0.500, 0.250), Te at (0.000, 0.000, 0.500) and Te at (0.000, 0.500, 0.750).

---

6.
The following is a DFT calculation (PBE-GGA) of crystalline SrHgTe3 at its relaxed geometry.

The crystal system is cubic. For the uncorrected formation energy, the calculation gives -0.2634 eV/atom. For the relative energy among the computed polymorphs, the calculation gives 0.000 kcal/mol of atoms.

It has space group Pm-3m (No. 221), with a = 5.668 Å, b = 5.668 Å, c = 5.668 Å, α = 90.00°, β = 90.00° and γ = 90.00°. The inequivalent atoms are Sr at (0.000, 0.000, 0.000), Hg at (0.500, 0.500, 0.500) and Te at (0.000, 0.500, 0.500).

---

7.
The following is a DFT calculation (PBE-GGA) of crystalline SrHg4Te at its relaxed geometry.

The crystal system is cubic. For the uncorrected formation energy, the calculation gives -0.3290 eV/atom.

It has space group F-43m (No. 216), with a = 8.946 Å, b = 8.946 Å, c = 8.946 Å, α = 90.00°, β = 90.00° and γ = 90.00°. The inequivalent atoms are Sr at (0.000, 0.000, 0.000), Hg at (0.124, 0.124, 0.376) and Te at (0.250, 0.250, 0.750).

---

8.
The following is a DFT calculation (PBE-GGA) of crystalline SrHg2Te at its relaxed geometry.

The crystal system is orthorhombic. For the uncorrected formation energy, the calculation gives -0.7174 eV/atom.

It has space group Immm (No. 71), with a = 4.600 Å, b = 4.619 Å, c = 12.485 Å, α = 90.00°, β = 90.00° and γ = 90.00°. The inequivalent atoms are Sr at (0.000, 0.000, 0.000), Hg at (0.000, 0.500, 0.252) and Te at (0.000, 0.000, 0.500).